Entry 1:
DFT (PBE) results for crystalline CsMgP2O at its relaxed geometry.

abc: 5.5378 5.5378 4.2647
angles: 90.00 90.00 90.00
Closest atoms and distances in Å follow each position.
Atoms (fractional coordinates):
Cs 0.0000 0.0000 0.0000  2 O 2.13
P 0.0000 0.5000 0.0000  2 Cs 2.77
P 0.5000 0.0000 0.0000  2 Cs 2.77
Mg 0.5000 0.5000 0.5000  8 P 3.49
O 0.0000 0.0000 0.5000  2 Cs 2.13

Calculated values
Theoretical density (g/cm³): 2.99
Energy relative to the elements, uncorrected (eV per atom): 1.25
Total moment (Bohr magnetons per cell): 0.95

Entry 2:
DFT (PBE) results for crystalline Cs4MgZr3P6O24 at its relaxed geometry.

abc: 10.4565 10.4530 10.4681
angles: 90.00 90.10 90.00
Closest atoms and distances in Å follow each position.
Atoms (fractional coordinates):
Cs 0.6876 0.0655 0.9358  9 O 3.03-3.31
Cs 0.5488 0.7930 0.2828  7 O 2.98-3.33
Cs 0.4512 0.2930 0.7172  7 O 2.98-3.33
Cs 0.3124 0.5655 0.0642  9 O 3.03-3.31
Cs 0.1770 0.9299 0.5715  12 O 3.06-3.42
Cs 0.0371 0.2071 0.1953  6 O 2.96-3.30
Cs 0.9629 0.7071 0.8047  6 O 2.96-3.30
Cs 0.8230 0.4299 0.4285  12 O 3.06-3.42
Mg 0.1044 0.3552 0.8562  6 O 2.07-2.16
Mg 0.8956 0.8552 0.1438  6 O 2.07-2.16
Zr 0.6664 0.4130 0.0861  6 O 2.07-2.17
Zr 0.6096 0.6416 0.6434  6 O 2.08-2.14
Zr 0.3904 0.1416 0.3566  6 O 2.08-2.14
Zr 0.3336 0.9130 0.9139  6 O 2.07-2.17
Zr 0.1590 0.5879 0.4106  6 O 2.09-2.14
Zr 0.8410 0.0879 0.5894  6 O 2.09-2.14
P 0.7116 0.1228 0.2730  4 O 1.51-1.57
P 0.6259 0.7284 0.9611  4 O 1.51-1.57
P 0.5227 0.9598 0.6261  4 O 1.55
P 0.4773 0.4598 0.3739  4 O 1.55
P 0.3741 0.2284 0.0389  4 O 1.51-1.57
P 0.2884 0.6228 0.7270  4 O 1.51-1.57
P 0.2042 0.8762 0.2287  4 O 1.51-1.57
P 0.1273 0.2724 0.5450  4 O 1.51-1.57
P 0.0203 0.0436 0.8794  4 O 1.52-1.59
P 0.9797 0.5436 0.1206  4 O 1.52-1.59
P 0.8727 0.7724 0.4550  4 O 1.51-1.57
P 0.7958 0.3762 0.7713  4 O 1.51-1.57
O 0.7415 0.3573 0.9091  1 P 1.56
O 0.7247 0.2530 0.1992  1 P 1.57
O 0.7277 0.7952 0.0392  1 P 1.51
O 0.7066 0.4769 0.7034  1 P 1.57
O 0.6607 0.0096 0.6450  1 P 1.55
O 0.6623 0.7255 0.8161  1 P 1.57
O 0.6041 0.5875 0.0066  1 P 1.57
O 0.5661 0.0884 0.2774  1 P 1.56
O 0.5461 0.5408 0.4777  1 P 1.55
O 0.5538 0.4755 0.2480  1 P 1.55
O 0.5240 0.8179 0.5842  1 P 1.55
O 0.4956 0.8014 0.9731  1 P 1.57
O 0.5044 0.3014 0.0269  1 P 1.57
O 0.4760 0.3179 0.4158  1 P 1.55
O 0.4462 0.9755 0.7520  1 P 1.55
O 0.4539 0.0408 0.5223  1 P 1.55
O 0.4339 0.5884 0.7226  1 P 1.56
O 0.3959 0.0875 0.9934  1 P 1.57
O 0.3377 0.2255 0.1839  1 P 1.57
O 0.3393 0.5096 0.3550  1 P 1.55
O 0.2934 0.9769 0.2966  1 P 1.57
O 0.2723 0.2952 0.9608  1 P 1.51
O 0.2753 0.7530 0.8008  1 P 1.57
O 0.2585 0.8573 0.0909  1 P 1.56
O 0.2413 0.6446 0.5871  1 P 1.56
O 0.2250 0.7482 0.3041  1 P 1.57
O 0.2285 0.2040 0.4576  1 P 1.57
O 0.2126 0.5199 0.7946  1 P 1.51
O 0.1614 0.9920 0.8575  1 P 1.59
O 0.1690 0.2706 0.6831  1 P 1.51
O 0.1085 0.4101 0.4905  1 P 1.56
O 0.0665 0.9195 0.2313  1 P 1.51
O 0.0462 0.4592 0.0223  1 P 1.52
O 0.0514 0.5250 0.2538  1 P 1.59
O 0.0207 0.1849 0.9135  1 P 1.52
O 0.9992 0.1968 0.5239  1 P 1.57
O 0.0008 0.6968 0.4761  1 P 1.57
O 0.9793 0.6849 0.0865  1 P 1.52
O 0.9486 0.0250 0.7462  1 P 1.59
O 0.9538 0.9592 0.9777  1 P 1.52
O 0.9335 0.4195 0.7687  1 P 1.51
O 0.8915 0.9101 0.5095  1 P 1.56
O 0.8310 0.7706 0.3169  1 P 1.51
O 0.8386 0.4920 0.1425  1 P 1.59
O 0.7874 0.0199 0.2054  1 P 1.51
O 0.7715 0.7040 0.5424  1 P 1.57
O 0.7750 0.2482 0.6959  1 P 1.57
O 0.7587 0.1446 0.4129  1 P 1.56

Calculated values
Theoretical density (g/cm³): 4.06
Energy relative to the elements, uncorrected (eV per atom): -2.63
Total moment (Bohr magnetons per cell): 0.11

Entry 3:
DFT (PBE) results for crystalline Cs2MgZrP3O12 at its relaxed geometry.

abc: 10.4500 10.4500 10.4500
angles: 90.00 90.00 90.00
Closest atoms and distances in Å follow each position.
Atoms (fractional coordinates):
Cs 0.8163 0.8163 0.8163  12 O 3.07-3.39
Cs 0.6837 0.1837 0.3163  12 O 3.07-3.39
Cs 0.1837 0.3163 0.6837  12 O 3.07-3.39
Cs 0.3163 0.6837 0.1837  12 O 3.07-3.39
Cs 0.0444 0.0444 0.0444  9 O 3.05-3.40
Cs 0.4556 0.9556 0.5444  9 O 3.05-3.40
Cs 0.9556 0.5444 0.4556  9 O 3.05-3.40
Cs 0.5444 0.4556 0.9556  9 O 3.05-3.40
Mg 0.6071 0.6071 0.6071  6 O 2.09-2.13
Mg 0.8929 0.3929 0.1071  6 O 2.09-2.13
Mg 0.3929 0.1071 0.8929  6 O 2.09-2.13
Mg 0.1071 0.8929 0.3929  6 O 2.09-2.13
Zr 0.3373 0.3373 0.3373  6 O 2.10-2.13
Zr 0.1627 0.6627 0.8373  6 O 2.10-2.13
Zr 0.6627 0.8373 0.1627  6 O 2.10-2.13
Zr 0.8373 0.1627 0.6627  6 O 2.10-2.13
P 0.0219 0.2074 0.3717  4 O 1.53-1.57
P 0.4781 0.7926 0.8717  4 O 1.53-1.57
P 0.9781 0.7074 0.1283  4 O 1.53-1.57
P 0.3717 0.0219 0.2074  4 O 1.53-1.57
P 0.5219 0.2926 0.6283  4 O 1.53-1.57
P 0.8717 0.4781 0.7926  4 O 1.53-1.57
P 0.1283 0.9781 0.7074  4 O 1.53-1.57
P 0.6283 0.5219 0.2926  4 O 1.53-1.57
P 0.2074 0.3717 0.0219  4 O 1.53-1.57
P 0.7074 0.1283 0.9781  4 O 1.53-1.57
P 0.2926 0.6283 0.5219  4 O 1.53-1.57
P 0.7926 0.8717 0.4781  4 O 1.53-1.57
O 0.1608 0.2603 0.3937  1 P 1.57
O 0.3392 0.7397 0.8937  1 P 1.57
O 0.8392 0.7603 0.1063  1 P 1.57
O 0.3937 0.1608 0.2603  1 P 1.57
O 0.6608 0.2397 0.6063  1 P 1.57
O 0.8937 0.3392 0.7397  1 P 1.57
O 0.1063 0.8392 0.7603  1 P 1.57
O 0.6063 0.6608 0.2397  1 P 1.57
O 0.2603 0.3937 0.1608  1 P 1.57
O 0.7603 0.1063 0.8392  1 P 1.57
O 0.2397 0.6063 0.6608  1 P 1.57
O 0.7397 0.8937 0.3392  1 P 1.57
O 0.0256 0.0659 0.3346  1 P 1.53
O 0.4744 0.9341 0.8346  1 P 1.53
O 0.9744 0.5659 0.1654  1 P 1.53
O 0.3346 0.0256 0.0659  1 P 1.53
O 0.5256 0.4341 0.6654  1 P 1.53
O 0.8346 0.4744 0.9341  1 P 1.53
O 0.1654 0.9744 0.5659  1 P 1.53
O 0.6654 0.5256 0.4341  1 P 1.53
O 0.0659 0.3346 0.0256  1 P 1.53
O 0.5659 0.1654 0.9744  1 P 1.53
O 0.4341 0.6654 0.5256  1 P 1.53
O 0.9341 0.8346 0.4744  1 P 1.53
O 0.2773 0.4984 0.4472  1 P 1.57
O 0.2227 0.5016 0.9472  1 P 1.57
O 0.7227 0.9984 0.0528  1 P 1.57
O 0.4472 0.2773 0.4984  1 P 1.57
O 0.7773 0.0016 0.5528  1 P 1.57
O 0.9472 0.2227 0.5016  1 P 1.57
O 0.0528 0.7227 0.9984  1 P 1.57
O 0.5528 0.7773 0.0016  1 P 1.57
O 0.4984 0.4472 0.2773  1 P 1.57
O 0.9984 0.0528 0.7227  1 P 1.57
O 0.0016 0.5528 0.7773  1 P 1.57
O 0.5016 0.9472 0.2227  1 P 1.57
O 0.0463 0.7893 0.2287  1 P 1.53
O 0.4537 0.2107 0.7287  1 P 1.53
O 0.9537 0.2893 0.2713  1 P 1.53
O 0.2287 0.0463 0.7893  1 P 1.53
O 0.5463 0.7107 0.7713  1 P 1.53
O 0.7287 0.4537 0.2107  1 P 1.53
O 0.2713 0.9537 0.2893  1 P 1.53
O 0.7713 0.5463 0.7107  1 P 1.53
O 0.7893 0.2287 0.0463  1 P 1.53
O 0.2893 0.2713 0.9537  1 P 1.53
O 0.7107 0.7713 0.5463  1 P 1.53
O 0.2107 0.7287 0.4537  1 P 1.53

Calculated values
Theoretical density (g/cm³): 3.88
Energy relative to the elements, uncorrected (eV per atom): -2.47
Total moment (Bohr magnetons per cell): 4.55

Entry 4:
DFT (PBE) results for crystalline Cs3Mg2PaO6 at its relaxed geometry.

abc: 6.3423 6.3423 7.7586
angles: 90.00 90.00 120.00
Closest atoms and distances in Å follow each position.
Atoms (fractional coordinates):
Cs 0.3333 0.6667 0.7540  6 O 3.23, 1 Mg 3.32
Cs 0.6667 0.3333 0.2460  6 O 3.23, 1 Mg 3.32
Cs 0.0000 0.0000 0.0000  6 O 3.09
Mg 0.6667 0.3333 0.6737  3 O 1.90
Mg 0.3333 0.6667 0.3263  3 O 1.90
Pa 0.0000 0.0000 0.5000  6 O 2.21
O 0.6795 0.8398 0.3273  1 Mg 1.90
O 0.1602 0.3205 0.3273  1 Mg 1.90
O 0.1602 0.8398 0.3273  1 Mg 1.90
O 0.8398 0.6795 0.6727  1 Mg 1.90
O 0.3205 0.1602 0.6727  1 Mg 1.90
O 0.8398 0.1602 0.6727  1 Mg 1.90

Calculated values
Theoretical density (g/cm³): 4.76
Energy relative to the elements, uncorrected (eV per atom): -2.35
Total moment (Bohr magnetons per cell): 0.00

Entry 5:
DFT (PBE) results for crystalline Cs3MgPa2O9 at its relaxed geometry.

abc: 6.2553 6.2553 7.6184
angles: 90.00 90.00 120.00
Closest atoms and distances in Å follow each position.
Atoms (fractional coordinates):
Cs 0.3333 0.6667 0.6629  12 O 3.08-3.14
Cs 0.0000 0.0000 0.0000  12 O 3.13
Cs 0.6667 0.3333 0.3371  12 O 3.08-3.14
Mg 0.0000 0.0000 0.5000  6 O 2.25
Pa 0.3333 0.6667 0.1762  6 O 2.13-2.25
Pa 0.6667 0.3333 0.8238  6 O 2.13-2.25
O 0.8296 0.1704 0.6682  1 Pa 2.13, 1 Mg 2.25
O 0.8296 0.6592 0.6682  1 Pa 2.13, 1 Mg 2.25
O 0.3408 0.1704 0.6682  1 Pa 2.13, 1 Mg 2.25
O 0.6592 0.8296 0.3318  1 Pa 2.13, 1 Mg 2.25
O 0.1704 0.3408 0.3318  1 Pa 2.13, 1 Mg 2.25
O 0.1704 0.8296 0.3318  1 Pa 2.13, 1 Mg 2.25
O 0.5000 0.0000 0.0000  2 Pa 2.25
O 0.0000 0.5000 0.0000  2 Pa 2.25
O 0.5000 0.5000 0.0000  2 Pa 2.25

Calculated values
Theoretical density (g/cm³): 6.62
Energy relative to the elements, uncorrected (eV per atom): -2.34
Total moment (Bohr magnetons per cell): 3.07

Entry 6:
DFT (PBE) results for crystalline Cs2MgPtO4 at its relaxed geometry.

abc: 5.8137 7.6260 11.0767
angles: 84.26 74.79 67.59
Closest atoms and distances in Å follow each position.
Atoms (fractional coordinates):
Cs 0.1753 0.0000 0.6495  2 O 2.80
Cs 0.8247 0.0000 0.3505  2 O 2.80
Cs 0.5747 0.5000 0.8505  2 O 2.80
Cs 0.9253 0.5000 0.1495  2 O 2.80
Mg 0.7500 0.5000 0.5000  4 O 1.99
Mg 0.0000 0.0000 0.0000  4 O 1.99
Pt 0.2500 0.5000 0.5000  4 O 1.96
Pt 0.5000 0.0000 0.0000  4 O 1.96
O 0.3425 0.8112 0.0126  1 Pt 1.96, 1 Mg 1.99
O 0.1662 0.1888 0.9874  1 Pt 1.96, 1 Mg 1.99
O 0.8463 0.8112 0.9874  1 Pt 1.96, 1 Mg 1.99
O 0.6449 0.1888 0.0126  1 Pt 1.96, 1 Mg 1.99
O 0.4075 0.6888 0.4874  1 Pt 1.96, 1 Mg 1.99
O 0.5838 0.3112 0.5126  1 Pt 1.96, 1 Mg 1.99
O 0.9037 0.6888 0.5126  1 Pt 1.96, 1 Mg 1.99
O 0.1051 0.3112 0.4874  1 Pt 1.96, 1 Mg 1.99

Calculated values
Theoretical density (g/cm³): 4.16
Energy relative to the elements, uncorrected (eV per atom): -1.23
Total moment (Bohr magnetons per cell): 4.02